Record 1
First-principles (PBE-GGA) data for a relaxed structure of NaCa2N, as listed in Alexandria via LeMat-Bulk.

Cell: 7.260 7.260 9.798 Å, 90.00 90.00 90.00°
Space group I-42d (No. 122)
Unique sites:
Na 0.000 0.000 0.000 x4
Ca 0.083 0.250 0.625 x8
N 0.000 0.000 0.500 x4

Record 2
First-principles (PBE-GGA) data for a relaxed structure of Na2CaN, as listed in Alexandria via LeMat-Bulk.

Cell: 6.846 6.846 10.883 Å, 90.00 90.00 90.00°
Space group I4_1/amd (No. 141, origin choice 2)
Unique sites:
Na 0.000 0.000 0.000 x8
Ca 0.000 0.250 0.375 x4
N 0.000 0.250 0.875 x4

Record 3
First-principles (PBE-GGA) data for a relaxed structure of NaCa6N2, as listed in Alexandria via LeMat-Bulk.

Cell: 13.877 4.033 10.591 Å, 90.00 93.02 90.00°
Space group C2/m (No. 12)
Unique sites:
Na 0.000 0.000 0.000 x2
Ca 0.079 0.000 0.693 x4
Ca 0.192 0.000 0.411 x4
Ca 0.200 0.500 0.152 x4
N 0.233 0.000 0.645 x4

Record 4
First-principles (PBE-GGA) data for a relaxed structure of Na2Ca4N, as listed in Alexandria via LeMat-Bulk.

Cell: 4.980 4.980 18.782 Å, 90.00 90.00 90.00°
Space group I4/mmm (No. 139)
Unique sites:
Na 0.000 0.000 0.176 x4
Ca 0.000 0.000 0.373 x4
Ca 0.000 0.500 0.000 x4
N 0.000 0.000 0.500 x2

Record 5
First-principles (PBE-GGA) data for a relaxed structure of NaCa4N2, as listed in Alexandria via LeMat-Bulk.

Cell: 3.786 12.826 13.295 Å, 90.00 90.00 90.00°
Space group Cmcm (No. 63)
Unique sites:
Na 0.000 0.118 0.250 x4
Ca 0.000 0.000 0.000 x4
Ca 0.000 0.245 0.590 x8
Ca 0.000 0.403 0.250 x4
N 0.000 0.363 0.061 x8

Record 6
First-principles (PBE-GGA) data for a relaxed structure of NaCaN2, as listed in Alexandria via LeMat-Bulk.

Cell: 5.998 5.998 5.998 Å, 90.00 90.00 90.00°
Space group Fm-3m (No. 225)
Unique sites:
Na 0.000 0.000 0.000 x4
Ca 0.000 0.000 0.500 x4
N 0.250 0.250 0.250 x8

Record 7
First-principles (PBE-GGA) data for a relaxed structure of NaCa8N4, as listed in Alexandria via LeMat-Bulk.

Cell: 12.933 12.933 3.623 Å, 90.00 90.00 90.00°
Space group I4/m (No. 87)
Unique sites:
Na 0.000 0.000 0.000 x2
Ca 0.042 0.664 0.000 x8
Ca 0.157 0.204 0.500 x8
N 0.155 0.331 0.000 x8

Record 8
First-principles (PBE-GGA) data for a relaxed structure of NaCa3N, as listed in Alexandria via LeMat-Bulk.

Cell: 3.656 10.193 8.038 Å, 90.00 102.93 90.00°
Space group P2_1/m (No. 11)
Unique sites:
Na 0.248 0.250 0.001 x2
Ca 0.017 0.750 0.535 x2
Ca 0.400 0.520 0.296 x4
N 0.000 0.000 0.500 x2

Record 9
First-principles (PBE-GGA) data for a relaxed structure of NaCa3N, as listed in Alexandria via LeMat-Bulk.

Cell: 12.748 7.004 9.228 Å, 90.00 132.19 90.00°
Space group C2/m (No. 12)
Unique sites:
Na 0.206 0.000 0.143 x4
Ca 0.084 0.251 0.369 x8
Ca 0.218 0.500 0.181 x4
N 0.244 0.500 0.448 x4

Record 10
First-principles (PBE-GGA) data for a relaxed structure of NaCa2N, as listed in Alexandria via LeMat-Bulk.

Cell: 3.6211 3.6211 28.4943 Å, 90.00 90.00 120.00°
Space group R3m (No. 160, hexagonal axes)
Unique sites:
Na 0.0000 0.0000 0.0000 x3
Ca 0.0000 0.0000 0.2112 x3
Ca 0.0000 0.0000 0.4566 x3
N 0.0000 0.0000 0.8340 x3

Record 11
First-principles (PBE-GGA) data for a relaxed structure of Na3Ca4N2, as listed in Alexandria via LeMat-Bulk.

Cell: 18.986 3.517 8.432 Å, 90.00 110.18 90.00°
Space group C2/m (No. 12)
Unique sites:
Na 0.000 0.000 0.000 x2
Na 0.140 0.500 0.843 x4
Ca 0.094 0.000 0.458 x4
Ca 0.233 0.500 0.327 x4
N 0.179 0.500 0.547 x4

Record 12
First-principles (PBE-GGA) data for a relaxed structure of NaCa8N5, as listed in Alexandria via LeMat-Bulk.

Cell: 18.521 3.677 9.190 Å, 90.00 105.58 90.00°
Space group C2/m (No. 12)
Unique sites:
Na 0.000 0.000 0.000 x2
Ca 0.082 0.000 0.626 x4
Ca 0.088 0.500 0.343 x4
Ca 0.179 0.500 0.971 x4
Ca 0.234 0.500 0.644 x4
N 0.000 0.500 0.500 x2
N 0.159 0.000 0.452 x4
N 0.203 0.000 0.831 x4

Energy across the listed records, respectively: -59.9 -40.9 -66.6 -41.0 -115.4 -71.5 -117.7 -35.0 -70.3 -47.7 -64.3 -137.1 eV per cell.
Energy relative to the elements, uncorrected across the listed records, respectively: -0.3346 0.6832 -0.3670 -0.2196 -0.4111 0.5226 -0.6339 -0.3719 -0.3852 -0.5601 -0.3946 -0.6842 eV per atom.
Ρ across the listed records, respectively: 1.51 1.30 1.64 1.57 2.17 2.80 2.19 1.79 1.71 1.80 1.62 2.28 g/cm3.